Below is a relaxed NdHfPt crystal, with properties calculated at the GGA-PBE level.

Summary:
ΔE_f in eV per atom: 0.43
Total DFT energy (no corrections) in eV per atom: -6.494
Energy relative to the lowest polymorph listed for this composition in kJ/mol of atoms: 123.25
Total magnetic moment in μB per cell: 0.002
Space group: F-43m (216)

a b c (Å): 4.714 4.714 4.714
angles (deg): 60.00 60.00 60.00
Element x y z (fractional)
Nd1 0.000 0.000 0.000
Hf1 0.250 0.250 0.250
Pt1 0.750 0.750 0.750